Entry from Alexandria via LeMat-Bulk: PuVAu after structural relaxation (PBE).

Unit cell a=2.8679 b=2.9540 c=14.7644 alpha=90.00 beta=90.00 gamma=119.04
Last column: nearest neighbours and their distance in Å.
Atoms (fractional coordinates):
V  0.4054  0.8109  0.0000  6 Au 2.77, 6 V 2.87-2.95
V  0.5599  0.1198  0.5000  2 Pu 2.63, 2 V 2.87
Pu  0.7731  0.5461  0.3384  1 V 2.63, 2 Pu 2.87
Pu  0.7731  0.5461  0.6616  1 V 2.63, 2 Pu 2.87
Au  0.0776  0.1551  0.8516  3 V 2.77, 6 Au 2.87-2.95
Au  0.0776  0.1551  0.1484  3 V 2.77, 6 Au 2.87-2.95

Output
For the formation energy, the calculation gives 0.26 eV per atom. As for the crystal system: orthorhombic. Its final energy is -8.647 eV per atom. Its size of the total moment is 1.50 μB/atom.